The following is a DFT calculation (GGA+U) of crystalline VOsNF2 at its relaxed geometry.

abc: 4.339 4.339 3.761
angles: 90.00 90.00 90.00
Site moments in Bohr magnetons follow the coordinates.
Sites, in units of the cell vectors:
N  0.000  0.000  0.500  -0.06
F  0.000  0.500  0.000  0.02
F  0.500  0.000  0.000  0.02
Os  0.000  0.000  0.000  -0.14
V  0.500  0.500  0.500  3.04

## Properties
Space-group type: No. 123
Volume (A^3/atom): 14.16
Energy relative to the lowest polymorph listed for this composition (meV/atom): 0.0